No. 1
Computed, not measured: an optimized crystal structure of Dy2TmIn3Ag2Pt at the PBE level of DFT.

Summary:
Space group: Amm2 (38)
Electronic total energy in eV/atom: -4.33
Magnetic moment in Bohr magnetons per cell: 0.0

a b c (Å): 3.9634 7.7139 7.7139
angles (deg): 119.88 90.00 90.00
Closest atoms and distances in Å follow each position.
Sites, in units of the cell vectors:
In (0.5000, 0.2581, 0.2581)  2 Pt 2.83, 2 Ag 2.89
In (0.5000, 0.0000, 0.7410)  2 Pt 2.81, 2 Ag 2.90-2.92
In (0.5000, 0.7410, 0.0000)  2 Pt 2.81, 2 Ag 2.90-2.92
Tm (0.0000, 0.6058, 0.6058)  1 Pt 3.03, 4 Ag 3.07, 6 In 3.33-3.34
Dy (0.0000, 0.3966, 0.0002)  1 Pt 3.07, 4 Ag 3.09-3.10, 6 In 3.31-3.35
Dy (0.0000, 0.0002, 0.3966)  1 Pt 3.07, 4 Ag 3.09-3.10, 6 In 3.31-3.35
Ag (0.5000, 0.6656, 0.3354)  3 In 2.89-2.92, 2 Tm 3.07, 4 Dy 3.09-3.10
Ag (0.5000, 0.3354, 0.6656)  3 In 2.89-2.92, 2 Tm 3.07, 4 Dy 3.09-3.10
Pt (0.0000, 0.9974, 0.9974)  6 In 2.81-2.83, 1 Tm 3.03, 2 Dy 3.07

No. 2
Computed, not measured: an optimized crystal structure of DyTm2In3AgPt2 at the PBE level of DFT.

Summary:
Space group: Amm2 (38)
Electronic total energy in eV/atom: -4.90
Magnetic moment in Bohr magnetons per cell: 0.0

a b c (Å): 3.7363 7.8032 7.8032
angles (deg): 120.14 90.00 90.00
Closest atoms and distances in Å follow each position.
Sites, in units of the cell vectors:
In (0.5000, 0.2694, 0.9991)  2 Ag 2.82, 2 Pt 2.86-2.89, 2 Tm 3.12
In (0.5000, 0.9991, 0.2694)  2 Ag 2.82, 2 Pt 2.86-2.89, 2 Tm 3.12
In (0.5000, 0.7313, 0.7313)  2 Ag 2.80, 2 Pt 2.90, 2 Dy 3.13
Tm (0.0000, 0.0000, 0.5906)  4 Pt 3.00, 2 In 3.12, 1 Ag 3.19
Tm (0.0000, 0.5906, 0.0000)  4 Pt 3.00, 2 In 3.12, 1 Ag 3.19
Ag (0.0000, 0.9993, 0.9993)  6 In 2.80-2.82
Dy (0.0000, 0.4090, 0.4090)  4 Pt 3.03, 6 In 3.13-3.38, 1 Ag 3.19
Pt (0.5000, 0.6685, 0.3327)  3 In 2.86-2.90, 4 Tm 3.00, 2 Dy 3.03
Pt (0.5000, 0.3327, 0.6685)  3 In 2.86-2.90, 4 Tm 3.00, 2 Dy 3.03

No. 3
Computed, not measured: an optimized crystal structure of DyY2In3AgPt2 at the PBE level of DFT.

Summary:
Space group: Amm2 (38)
Electronic total energy in eV/atom: -5.35
Magnetic moment in Bohr magnetons per cell: 0.0

a b c (Å): 3.7714 7.8271 7.8271
angles (deg): 119.89 90.00 90.00
Closest atoms and distances in Å follow each position.
Sites, in units of the cell vectors:
Ag (0.0000, 0.0002, 0.0002)  6 In 2.83
In (0.5000, 0.0000, 0.2690)  2 Ag 2.83, 2 Pt 2.89-2.90, 2 Y 3.15
In (0.5000, 0.2690, 0.0000)  2 Ag 2.83, 2 Pt 2.89-2.90, 2 Y 3.15
In (0.5000, 0.7310, 0.7310)  2 Ag 2.83, 2 Pt 2.89, 2 Dy 3.15
Y (0.0000, 0.0000, 0.5912)  4 Pt 3.03, 6 In 3.15-3.39, 1 Ag 3.20
Y (0.0000, 0.5912, 0.0000)  4 Pt 3.03, 6 In 3.15-3.39, 1 Ag 3.20
Dy (0.0000, 0.4094, 0.4094)  4 Pt 3.02, 2 In 3.15, 1 Ag 3.21
Pt (0.5000, 0.6657, 0.3335)  3 In 2.89-2.90, 2 Dy 3.02, 4 Y 3.03
Pt (0.5000, 0.3335, 0.6657)  3 In 2.89-2.90, 2 Dy 3.02, 4 Y 3.03

No. 4
Computed, not measured: an optimized crystal structure of Tb2DyIn3Ag3 at the PBE level of DFT.

Summary:
Space group: Amm2 (38)
Electronic total energy in eV/atom: -3.83
Magnetic moment in Bohr magnetons per cell: 0.0

a b c (Å): 3.9306 7.8566 7.8566
angles (deg): 119.97 90.00 90.00
Closest atoms and distances in Å follow each position.
Sites, in units of the cell vectors:
In (0.5000, 0.7365, 0.7365)  4 Ag 2.86-2.93
In (0.5000, 0.2635, 0.0002)  4 Ag 2.85-2.94
In (0.5000, 0.0002, 0.2635)  4 Ag 2.85-2.94
Ag (0.5000, 0.3337, 0.6660)  3 In 2.93-2.94, 2 Dy 3.09, 4 Tb 3.10
Ag (0.5000, 0.6660, 0.3337)  3 In 2.93-2.94, 2 Dy 3.09, 4 Tb 3.10
Ag (0.0000, 0.0004, 0.0004)  6 In 2.85-2.86, 1 Dy 3.17, 2 Tb 3.18
Tb (0.0000, 0.5957, 0.0000)  5 Ag 3.10-3.18, 6 In 3.27-3.42
Tb (0.0000, 0.0000, 0.5957)  5 Ag 3.10-3.18, 6 In 3.27-3.42
Dy (0.0000, 0.4040, 0.4040)  5 Ag 3.09-3.17, 6 In 3.27-3.41

No. 5
Computed, not measured: an optimized crystal structure of TbDy2In3Ag3 at the PBE level of DFT.

Summary:
Space group: Amm2 (38)
Electronic total energy in eV/atom: -3.82
Magnetic moment in Bohr magnetons per cell: 0.0

a b c (Å): 3.9327 7.8430 7.8430
angles (deg): 120.05 90.00 90.00
Closest atoms and distances in Å follow each position.
Sites, in units of the cell vectors:
In (0.5000, 0.9997, 0.2630)  4 Ag 2.85-2.93
In (0.5000, 0.2630, 0.9997)  4 Ag 2.85-2.93
In (0.5000, 0.7369, 0.7369)  4 Ag 2.85-2.93
Ag (0.5000, 0.6673, 0.3330)  3 In 2.92-2.93, 4 Dy 3.09, 2 Tb 3.09
Ag (0.0000, 0.9996, 0.9996)  6 In 2.85, 2 Dy 3.18, 1 Tb 3.18
Ag (0.5000, 0.3330, 0.6673)  3 In 2.92-2.93, 4 Dy 3.09, 2 Tb 3.09
Dy (0.0000, 0.5949, 0.0001)  5 Ag 3.09-3.18, 6 In 3.26-3.42
Dy (0.0000, 0.0001, 0.5949)  5 Ag 3.09-3.18, 6 In 3.26-3.42
Tb (0.0000, 0.4054, 0.4054)  5 Ag 3.09-3.18, 6 In 3.26-3.42

No. 6
Computed, not measured: an optimized crystal structure of Dy2TmIn3Ag3 at the PBE level of DFT.

Summary:
Space group: Amm2 (38)
Electronic total energy in eV/atom: -3.80
Magnetic moment in Bohr magnetons per cell: 0.0

a b c (Å): 3.9007 7.8352 7.8352
angles (deg): 119.86 90.00 90.00
Closest atoms and distances in Å follow each position.
Sites, in units of the cell vectors:
Tm (0.0000, 0.4033, 0.4033)  5 Ag 3.06-3.16, 6 In 3.26-3.40
In (0.5000, 0.2650, 0.0004)  4 Ag 2.84-2.94
In (0.5000, 0.0004, 0.2650)  4 Ag 2.84-2.94
In (0.5000, 0.7354, 0.7354)  4 Ag 2.86-2.91
Ag (0.0000, 0.0013, 0.0013)  6 In 2.84-2.86, 1 Tm 3.16, 2 Dy 3.17
Ag (0.5000, 0.6646, 0.3343)  3 In 2.91-2.94, 2 Tm 3.06, 4 Dy 3.09
Ag (0.5000, 0.3343, 0.6646)  3 In 2.91-2.94, 2 Tm 3.06, 4 Dy 3.09
Dy (0.0000, 0.9997, 0.5960)  5 Ag 3.09-3.17, 6 In 3.25-3.41
Dy (0.0000, 0.5960, 0.9997)  5 Ag 3.09-3.17, 6 In 3.25-3.41

No. 7
Computed, not measured: an optimized crystal structure of DyTm2In3Ag3 at the PBE level of DFT.

Summary:
Space group: Amm2 (38)
Electronic total energy in eV/atom: -3.77
Magnetic moment in Bohr magnetons per cell: 0.0

a b c (Å): 3.8753 7.8268 7.8268
angles (deg): 120.12 90.00 90.00
Closest atoms and distances in Å follow each position.
Sites, in units of the cell vectors:
In (0.5000, 0.9996, 0.2652)  4 Ag 2.84-2.92
In (0.5000, 0.7344, 0.7344)  4 Ag 2.83-2.92
In (0.5000, 0.2652, 0.9996)  4 Ag 2.84-2.92
Ag (0.5000, 0.6686, 0.3325)  3 In 2.89-2.92, 4 Tm 3.06-3.07, 2 Dy 3.09
Ag (0.0000, 0.9987, 0.9987)  6 In 2.83-2.84, 2 Tm 3.14, 1 Dy 3.16
Ag (0.5000, 0.3325, 0.6686)  3 In 2.89-2.92, 4 Tm 3.06-3.07, 2 Dy 3.09
Dy (0.0000, 0.4026, 0.4026)  5 Ag 3.09-3.16, 6 In 3.24-3.38
Tm (0.0000, 0.5980, 0.0002)  5 Ag 3.06-3.14, 6 In 3.24-3.38
Tm (0.0000, 0.0002, 0.5980)  5 Ag 3.06-3.14, 6 In 3.24-3.38

No. 8
Computed, not measured: an optimized crystal structure of DyAgIr at the PBE level of DFT.

Summary:
Space group: F-43m (216)
Energy above the most stable polymorph in this dataset in meV per atom: 0
Magnetic moment in Bohr magnetons per cell: 0.0
Calculated formation energy in eV/atom: -0.16

a b c (Å): 4.6047 4.6047 4.6047
angles (deg): 60.00 60.00 60.00
Closest atoms and distances in Å follow each position.
Sites, in units of the cell vectors:
Dy (0.2500, 0.2500, 0.2500)  4 Ir 2.82
Ag (0.7500, 0.7500, 0.7500)  4 Ir 2.82
Ir (0.0000, 0.0000, 0.0000)  4 Ag 2.82, 4 Dy 2.82

No. 9
Computed, not measured: an optimized crystal structure of Dy3Mg3Ag2Ir at the PBE level of DFT.

Summary:
Space group: P-62m (189)
Electronic total energy in eV/atom: -4.06
Magnetic moment in Bohr magnetons per cell: 0.0

a b c (Å): 7.3974 7.3974 4.3069
angles (deg): 90.00 90.00 120.00
Closest atoms and distances in Å follow each position.
Sites, in units of the cell vectors:
Ag (0.6667, 0.3333, 0.5000)  3 Mg 2.89, 6 Dy 3.13
Ag (0.3333, 0.6667, 0.5000)  3 Mg 2.89, 6 Dy 3.13
Ir (0.0000, 0.0000, 0.0000)  6 Mg 2.77, 3 Dy 2.92
Dy (0.6052, 0.6052, 0.0000)  1 Ir 2.92, 4 Ag 3.13
Dy (0.0000, 0.3948, 0.0000)  1 Ir 2.92, 4 Ag 3.13
Dy (0.3948, 0.0000, 0.0000)  1 Ir 2.92, 4 Ag 3.13
Mg (0.7640, 0.0000, 0.5000)  2 Ir 2.77, 2 Ag 2.89, 2 Mg 3.02
Mg (0.2360, 0.2360, 0.5000)  2 Ir 2.77, 2 Ag 2.89, 2 Mg 3.02
Mg (0.0000, 0.7640, 0.5000)  2 Ir 2.77, 2 Ag 2.89, 2 Mg 3.02

No. 10
Computed, not measured: an optimized crystal structure of Dy3Mg3AgIr2 at the PBE level of DFT.

Summary:
Space group: P-62m (189)
Electronic total energy in eV/atom: -4.88
Magnetic moment in Bohr magnetons per cell: 0.0

a b c (Å): 7.4362 7.4362 4.0127
angles (deg): 90.00 90.00 120.00
Closest atoms and distances in Å follow each position.
Sites, in units of the cell vectors:
Ir (0.6667, 0.3333, 0.5000)  3 Mg 2.82, 6 Dy 3.00
Ir (0.3333, 0.6667, 0.5000)  3 Mg 2.82, 6 Dy 3.00
Mg (0.7457, 0.0000, 0.5000)  2 Ag 2.76, 2 Ir 2.82
Mg (0.2543, 0.2543, 0.5000)  2 Ag 2.76, 2 Ir 2.82
Mg (0.0000, 0.7457, 0.5000)  2 Ag 2.76, 2 Ir 2.82
Ag (0.0000, 0.0000, 0.0000)  6 Mg 2.76
Dy (0.0000, 0.4218, 0.0000)  4 Ir 3.00, 2 Mg 3.13, 1 Ag 3.14
Dy (0.5782, 0.5782, 0.0000)  4 Ir 3.00, 2 Mg 3.14, 1 Ag 3.14
Dy (0.4218, 0.0000, 0.0000)  4 Ir 3.00, 2 Mg 3.14, 1 Ag 3.14